[1]
Computed, not measured: a relaxed structure of VSi2Te at the GGA-PBE level of DFT.

a = 5.923 Å, b = 5.923 Å, c = 11.881 Å
α = 90.00°, β = 90.00°, γ = 90.00°
Space group I-42d (No. 122)
Asymmetric unit:
V (0.000, 0.000, 0.000) [4 per cell]
Si (0.211, 0.250, 0.125) [8 per cell]
Te (0.000, 0.000, 0.500) [4 per cell]

Calculated values
Total magnetization ... 1.8 μB/f.u.

[2]
Computed, not measured: a relaxed structure of V2Si2Te at the GGA-PBE level of DFT.

a = 3.465 Å, b = 3.465 Å, c = 13.246 Å
α = 90.00°, β = 90.00°, γ = 90.00°
Space group I4/mmm (No. 139)
Asymmetric unit:
V (0.000, 0.000, 0.110) [4 per cell]
Si (0.000, 0.500, 0.250) [4 per cell]
Te (0.000, 0.000, 0.500) [2 per cell]

Calculated values
Total magnetization ... 1.4 μB/f.u.

How do the records compare in calculated total energy? In the order shown, they have -5.111; -6.659 eV/atom.
How do the records compare in formation energy without anion corrections? In the order shown, they have 666; -214 meV per atom.
How do the records compare in ρ? In the order shown, they have 3.74; 5.97 g/cm³.